P.
Material: TaVRh3
Method: DFT, PBE-GGA
State: optimized geometry

```
TaVRh3
1.0
4.762 0.000 0.000
0.000 6.842 -0.811
0.000 -4.121 5.521
Rh Ta V
6 2 2
Direct
0.250 0.886 0.608
0.250 0.392 0.114
0.750 0.175 0.825
0.750 0.608 0.886
0.250 0.825 0.175
0.750 0.114 0.392
0.250 0.323 0.677
0.750 0.677 0.323
0.500 0.000 0.000
0.000 0.000 0.000
```

magnetic moment = 0.0 μB/cell
Fermi-level density of states = 11.3 states/eV per cell

***

Q.
Material: TaVRh3
Method: DFT, PBE-GGA
State: optimized geometry

```
TaVRh3
1.0
-2.591 -1.943 -3.673
3.588 -3.757 -0.544
-5.016 -1.809 4.496
Rh V Ta
6 2 2
Direct
0.000 0.000 0.000
0.500 0.000 0.000
0.250 0.098 0.694
0.750 0.902 0.306
0.750 0.404 0.306
0.250 0.596 0.694
0.750 0.476 0.951
0.250 0.524 0.049
0.250 0.180 0.360
0.750 0.820 0.640
```

magnetic moment = 0.0 μB/cell
Fermi-level density of states = 8.5 states/eV per cell

***

R.
Material: TaVRh3
Method: DFT, PBE-GGA
State: optimized geometry

```
TaVRh3
1.0
-1.459 4.191 -0.067
-0.984 -0.274 4.319
4.074 1.434 1.019
V Rh Ta
1 3 1
Direct
0.000 0.000 0.000
0.000 0.500 0.000
0.000 0.000 0.500
0.500 0.000 0.000
0.500 0.500 0.500
```

magnetic moment = 0.7 μB/cell
Fermi-level density of states = 8.7 states/eV per cell

***

Stability summary: most stable P, least stable R.

***

P.
Material: Ta6RhW
Method: DFT, PBE-GGA
State: optimized geometry

```
Ta6RhW
1.0
-1.785 2.763 -6.583
-6.640 -1.345 -2.875
-3.884 2.944 -1.823
Rh Ta W
1 6 1
Direct
0.500 0.500 0.500
0.250 0.000 0.250
0.000 0.500 0.750
0.750 0.000 0.750
0.000 0.500 0.250
0.500 0.750 0.750
0.500 0.250 0.250
0.000 0.000 0.000
```

magnetic moment = 0.0 μB/cell
Fermi-level density of states = 7.8 states/eV per cell

***

Q.
Material: Ta6RhW
Method: DFT, PBE-GGA
State: optimized geometry

```
Ta6RhW
1.0
-0.322 4.560 -0.460
-0.451 0.427 4.552
6.160 3.008 2.646
Ta Rh W
6 1 1
Direct
0.252 0.252 0.495
0.622 0.122 0.756
0.878 0.378 0.244
0.122 0.622 0.756
0.378 0.878 0.244
0.748 0.748 0.505
0.000 0.000 0.000
0.500 0.500 0.000
```

magnetic moment = 0.0 μB/cell
Fermi-level density of states = 5.1 states/eV per cell

***

Stability summary: most stable Q, least stable P.

***

P.
Material: TaRhW3
Method: DFT, PBE-GGA
State: optimized geometry

```
TaRhW3
1.0
-3.469 -0.215 -3.187
3.193 -0.339 -3.454
-0.072 -4.699 0.395
W Rh Ta
3 1 1
Direct
0.500 0.000 0.000
0.000 0.500 0.000
0.000 0.000 0.500
0.500 0.500 0.500
0.000 0.000 0.000
```

magnetic moment = 0.0 μB/cell
Fermi-level density of states = 6.7 states/eV per cell

***

Q.
Material: TaRhW3
Method: DFT, PBE-GGA
State: optimized geometry

```
TaRhW3
1.0
4.661 0.000 0.000
0.000 4.661 0.000
0.000 0.000 4.661
Rh Ta W
1 1 3
Direct
0.000 0.000 0.000
0.500 0.500 0.500
0.000 0.500 0.000
0.500 0.000 0.000
0.000 0.000 0.500
```

magnetic moment = 0.0 μB/cell
Fermi-level density of states = 4.5 states/eV per cell

***

Stability summary: most stable Q, least stable P.

***

P.
Material: YTaRh
Method: DFT, PBE-GGA
State: optimized geometry

```
YTaRh
1.0
-2.796 1.966 -3.046
-4.396 0.717 1.058
-1.520 4.261 0.705
Y Ta Rh
1 1 1
Direct
0.500 0.500 0.500
0.000 0.000 0.000
0.750 0.750 0.750
```

magnetic moment = 0.0 μB/cell
Fermi-level density of states = 3.3 states/eV per cell

***

Q.
Material: YTaRh
Method: DFT, PBE-GGA
State: optimized geometry

```
YTaRh
1.0
4.272 0.000 0.000
-2.136 3.700 0.000
0.000 0.000 4.351
Rh Y Ta
1 1 1
Direct
0.000 0.000 0.144
0.667 0.333 0.674
0.333 0.667 0.182
```

magnetic moment = 0.0 μB/cell
Fermi-level density of states = 2.9 states/eV per cell

***

R.
Material: YTaRh
Method: DFT, PBE-GGA
State: optimized geometry

```
YTaRh
1.0
3.225 0.000 0.000
-1.612 2.793 0.000
0.000 0.000 6.808
Y Rh Ta
1 1 1
Direct
0.333 0.667 0.676
0.000 0.000 0.027
0.667 0.333 0.297
```

magnetic moment = 0.0 μB/cell
Fermi-level density of states = 2.4 states/eV per cell

***

Stability summary: most stable Q, least stable P.